LaZnIn2 (SCAN, PBEsol geometry); calculated density = 7.4 g cm⁻³; symmetry = P4/mmm, No. 123; VASP energy = -31.2916 eV per atom; ΔE_f = -1.8 eV per formula unit
1.0
4.565 0.000 0.000
0.000 4.565 0.000
0.000 0.000 4.642
La Zn In
1 1 2
Direct
0.000 0.000 0.000
0.500 0.500 0.000
0.000 0.500 0.500
0.500 0.000 0.500



Zr3RuBr (SCAN, PBEsol geometry); energy above the most stable polymorph in this dataset = 0.496 eV per atom; formation energy from raw total energies = 0.695 eV/atom; calculated density = 6.8 g cm⁻³; symmetry = Pm-3m, No. 221; VASP energy = -28.5815 eV per atom
1.0
4.803 0.000 0.000
0.000 4.803 0.000
0.000 0.000 4.803
Zr Ru Br
3 1 1
Direct
0.000 0.000 0.500
0.000 0.500 0.000
0.500 0.000 0.000
0.500 0.500 0.500
0.000 0.000 0.000



NaTlN3 (SCAN, PBEsol geometry); formation energy from raw total energies = 2.112 eV/atom; calculated density = 4.9 g cm⁻³; symmetry = Pm-3m, No. 221; VASP energy = -18.7778 eV per atom
1.0
4.497 0.000 0.000
0.000 4.497 0.000
0.000 0.000 4.497
Na Tl N
1 1 3
Direct
0.000 0.000 0.000
0.500 0.500 0.500
0.000 0.000 0.500
0.000 0.500 0.000
0.500 0.000 0.000



Li4MgNi3O8 (SCAN, PBEsol geometry); energy above the most stable polymorph in this dataset = 0.004 eV per atom; formation energy from raw total energies = -1.842 eV/atom; calculated density = 4.5 g cm⁻³; symmetry = C2/m, No. 12; VASP energy = -8.8985 eV per atom
1.0
4.940 -2.865 0.000
4.940 2.865 0.000
-3.351 0.000 4.676
Li Mg Ni O
4 1 3 8
Direct
0.000 0.000 0.000
0.000 0.500 0.000
0.500 0.000 0.000
0.500 0.500 0.000
0.000 0.000 0.500
0.000 0.500 0.500
0.500 0.000 0.500
0.500 0.500 0.500
0.250 0.250 0.715
0.251 0.723 0.721
0.262 0.262 0.261
0.277 0.749 0.279
0.723 0.251 0.721
0.738 0.738 0.739
0.749 0.277 0.279
0.750 0.750 0.285



SrFeI2N (SCAN, PBEsol geometry); formation energy from raw total energies = -0.263 eV/atom; calculated density = 6.3 g cm⁻³; symmetry = P4/mmm, No. 123; VASP energy = -24.8991 eV per atom
1.0
5.499 0.000 0.000
0.000 5.499 0.000
0.000 0.000 3.601
Sr Fe I N
1 1 2 1
Direct
0.000 0.000 0.000
0.500 0.500 0.500
0.000 0.500 0.500
0.500 0.000 0.500
0.500 0.500 0.000



CuOs3I (SCAN, PBEsol geometry); formation energy from raw total energies = 2.544 eV/atom; calculated density = 14.1 g cm⁻³; symmetry = Pm-3m, No. 221; VASP energy = -50.9717 eV per atom
1.0
4.473 0.000 0.000
0.000 4.473 0.000
0.000 0.000 4.473
Cu Os I
1 3 1
Direct
0.000 0.000 0.000
0.000 0.000 0.500
0.000 0.500 0.000
0.500 0.000 0.000
0.500 0.500 0.500



Q: Among the records above, which one has the lowest VASP energy?
A: CuOs3I



Q: Which of these has the highest VASP energy?
A: Li4MgNi3O8